A plane-wave DFT calculation with PBE was carried out for an optimized crystal structure of Tb3MgZn3.

The formation energy comes out at -1.32 eV per formula unit.

It has space group R3m (No. 160, hexagonal axes), with a = 9.9823 Å, b = 9.9823 Å, c = 5.9298 Å, α = 90.00°, β = 90.00° and γ = 120.00°. The asymmetric unit holds Tb at (0.1960, 0.3920, 0.0000), Mg at (0.0000, 0.0000, 0.8520) and Zn at (0.1735, 0.3469, 0.5085).

---

A plane-wave DFT calculation with PBE was carried out for an optimized crystal structure of Tb2Mg3Zn4.

The formation energy comes out at -1.70 eV per formula unit.

It has space group Cmce (No. 64), with a = 5.960 Å, b = 16.866 Å, c = 7.565 Å, α = 90.00°, β = 90.00° and γ = 90.00°. The asymmetric unit holds Tb at (0.000, 0.095, 0.102), Mg at (0.000, 0.000, 0.500), Mg at (0.250, 0.237, 0.750), Zn at (0.000, 0.161, 0.483) and Zn at (0.250, 0.072, 0.750).

---

A plane-wave DFT calculation with PBE was carried out for an optimized crystal structure of Tb3MgZn4.

The formation energy comes out at -2.56 eV per formula unit.

It has space group R-3m (No. 166, hexagonal axes), with a = 4.9408 Å, b = 4.9408 Å, c = 24.7594 Å, α = 90.00°, β = 90.00° and γ = 120.00°. The asymmetric unit holds Tb at (0.0000, 0.0000, 0.0000), Tb at (0.0000, 0.0000, 0.2446), Mg at (0.0000, 0.0000, 0.5000), Zn at (0.0000, 0.0000, 0.1252) and Zn at (0.0000, 0.0000, 0.3745).

---

A plane-wave DFT calculation with PBE was carried out for an optimized crystal structure of Tb2MgZn.

The formation energy comes out at 1.06 eV per formula unit. For the energy relative to the lowest polymorph listed for this composition, the calculation gives 475 meV/atom.

It has space group R-3m (No. 166, hexagonal axes), with a = 3.3744 Å, b = 3.3744 Å, c = 34.5422 Å, α = 90.00°, β = 90.00° and γ = 120.00°. The asymmetric unit holds Tb at (0.0000, 0.0000, 0.0892), Mg at (0.0000, 0.0000, 0.5000) and Zn at (0.0000, 0.0000, 0.0000).

---

A plane-wave DFT calculation with PBE was carried out for an optimized crystal structure of Tb2Mg2Zn15.

The formation energy comes out at -4.41 eV per formula unit.

It has space group R-3m (No. 166, hexagonal axes), with a = 9.0691 Å, b = 9.0691 Å, c = 13.3542 Å, α = 90.00°, β = 90.00° and γ = 120.00°. The asymmetric unit holds Tb at (0.0000, 0.0000, 0.1574), Mg at (0.0000, 0.0000, 0.3958), Zn at (0.0000, 0.2967, 0.5000), Zn at (0.0000, 0.5000, 0.0000) and Zn at (0.0111, 0.5056, 0.6508).

---

A plane-wave DFT calculation with PBE was carried out for an optimized crystal structure of Tb3Mg2Zn2.

The formation energy comes out at -1.28 eV per formula unit.

It has space group P-1 (No. 2), with a = 4.968 Å, b = 5.850 Å, c = 6.464 Å, α = 93.79°, β = 90.08° and γ = 115.12°. The asymmetric unit holds Tb at (0.000, 0.000, 0.000), Tb at (0.376, 0.752, 0.315), Mg at (0.311, 0.622, 0.803) and Zn at (0.109, 0.220, 0.437).

---

A plane-wave DFT calculation with PBE was carried out for an optimized crystal structure of TbMg8Zn2.

The formation energy comes out at 0.44 eV per formula unit.

It has space group C2/m (No. 12), with a = 8.473 Å, b = 12.333 Å, c = 5.150 Å, α = 90.00°, β = 106.29° and γ = 90.00°. The asymmetric unit holds Tb at (0.000, 0.000, 0.000), Mg at (0.000, 0.260, 0.000), Mg at (0.108, 0.500, 0.811), Mg at (0.200, 0.124, 0.589) and Zn at (0.000, 0.312, 0.500).

---

A plane-wave DFT calculation with PBE was carried out for an optimized crystal structure of Tb2MgZn6.

The formation energy comes out at -2.42 eV per formula unit.

It has space group P-3m1 (No. 164), with a = 5.7805 Å, b = 5.7805 Å, c = 5.9649 Å, α = 90.00°, β = 90.00° and γ = 120.00°. The asymmetric unit holds Tb at (0.3333, 0.6667, 0.1457), Mg at (0.0000, 0.0000, 0.0000) and Zn at (0.1795, 0.3590, 0.6564).